A crystal of SrSc2Ag relaxed with PBEsol. Source: the Alexandria database, functional meta-GGA SCAN.

a b c (Å): 5.1322 5.1322 5.1322
angles (deg): 60.00 60.00 60.00
Element x y z (fractional)
Sr  0.0000  0.0000  0.0000
Sc  0.2500  0.2500  0.2500
Sc  0.7500  0.7500  0.7500
Ag  0.5000  0.5000  0.5000

Properties
E above lowest polymorph: 246 meV per atom
ΔE_f: 1.1 eV/f.u.
Electronic total energy: -20.265 eV per atom
Size of the total moment: 0.262 μB per atom